A relaxed HfCoO3 crystal, computed with PBE+U.

Unit cell a=5.401 b=5.435 c=7.831 alpha=90.00 beta=90.00 gamma=90.00
Each line ends with the local moment (μB).
Element x y z (fractional)
Hf: 0.500 0.000 0.000  0.01
Hf: 0.500 0.000 0.500  0.01
Hf: 0.000 0.500 0.000  0.01
Hf: 0.000 0.500 0.500  0.01
Co: 0.486 0.527 0.250  2.70
Co: 0.986 0.973 0.750  2.70
Co: 0.014 0.027 0.250  2.70
Co: 0.514 0.473 0.750  2.70
O: 0.621 0.084 0.750  0.07
O: 0.121 0.416 0.250  0.07
O: 0.879 0.584 0.750  0.07
O: 0.379 0.916 0.250  0.07
O: 0.165 0.168 0.566  0.07
O: 0.165 0.168 0.934  0.07
O: 0.665 0.332 0.066  0.07
O: 0.665 0.332 0.434  0.07
O: 0.335 0.668 0.566  0.07
O: 0.335 0.668 0.934  0.07
O: 0.835 0.832 0.066  0.07
O: 0.835 0.832 0.434  0.07

Results
**V**: 229.9 Å³ per cell
**Final energy**: -8.44 eV/atom
**Crystal system**: orthorhombic
**N(E_F)**: 0.00 states/eV per atom
**M_tot**: 12.0 Bohr magnetons per cell